(1)
Compound: Ho3Mg3ZnAg2
Source: OQMD
Functional: PBE
Structure: optimized geometry

Lattice parameters (Å, degrees): 7.6655 7.6655 4.0850 90.00 90.00 120.00
Last column: nearest neighbours and their distance in Å.
Space group P-62m (No. 189)
Unique sites:
Ho: 0.0000 0.4093 0.0000 (multiplicity 3)  4 Ag 3.09, 1 Zn 3.14, 6 Mg 3.34-3.41
Mg: 0.0000 0.7547 0.5000 (multiplicity 3)  2 Zn 2.78, 2 Ag 2.95
Zn: 0.0000 0.0000 0.0000 (multiplicity 1)  6 Mg 2.78
Ag: 0.3333 0.6667 0.5000 (multiplicity 2)  3 Mg 2.95, 6 Ho 3.09

Calculated density, g/cm3: 6.8
M_tot, μB/cell: 0.02
Electronic total energy, eV/atom: -3.08



(2)
Compound: Ho3Mg3Zn2Ag
Source: OQMD
Functional: PBE
Structure: optimized geometry

Lattice parameters (Å, degrees): 7.6036 7.6036 4.0901 90.00 90.00 120.00
Last column: nearest neighbours and their distance in Å.
Space group P-62m (No. 189)
Unique sites:
Ho: 0.0000 0.4138 0.0000 (multiplicity 3)  4 Zn 3.07, 1 Ag 3.15, 6 Mg 3.27-3.42
Mg: 0.0000 0.7491 0.5000 (multiplicity 3)  2 Ag 2.80, 2 Zn 2.90
Zn: 0.3333 0.6667 0.5000 (multiplicity 2)  3 Mg 2.90, 6 Ho 3.07
Ag: 0.0000 0.0000 0.0000 (multiplicity 1)  6 Mg 2.80

Calculated density, g/cm3: 6.5
M_tot, μB/cell: 0.02
Electronic total energy, eV/atom: -2.91



(3)
Compound: HoAgMo
Source: OQMD
Functional: PBE
Structure: optimized geometry

Lattice parameters (Å, degrees): 6.6486 6.6486 6.6486 90.00 90.00 90.00
Last column: nearest neighbours and their distance in Å.
Space group F-43m (No. 216)
Unique sites:
Ho: 0.0000 0.0000 0.0000 (multiplicity 4)  4 Mo 2.88, 4 Ag 2.88
Ag: 0.2500 0.2500 0.7500 (multiplicity 4)  4 Ho 2.88
Mo: 0.2500 0.2500 0.2500 (multiplicity 4)  4 Ho 2.88

Calculated density, g/cm3: 8.3
DFT formation energy, eV/atom: 1.17
M_tot, μB/cell: 11.68
Electronic total energy, eV/atom: -4.92
Energy relative to the lowest polymorph listed for this composition, meV/atom: 208



(4)
Compound: HoAgMo
Source: OQMD
Functional: PBE
Structure: optimized geometry

Lattice parameters (Å, degrees): 6.6204 6.6204 6.6204 90.00 90.00 90.00
Last column: nearest neighbours and their distance in Å.
Space group F-43m (No. 216)
Unique sites:
Ho: 0.0000 0.0000 0.0000 (multiplicity 4)  4 Mo 2.87
Ag: 0.0000 0.0000 0.5000 (multiplicity 4)  4 Mo 2.87
Mo: 0.2500 0.2500 0.7500 (multiplicity 4)  4 Ho 2.87, 4 Ag 2.87

Calculated density, g/cm3: 8.4
DFT formation energy, eV/atom: 0.96
M_tot, μB/cell: 11.54
Electronic total energy, eV/atom: -5.12
Energy relative to the lowest polymorph listed for this composition, meV/atom: 0